An optimized crystal structure of MgHgPd3. Source: Alexandria via LeMat-Bulk, functional PBE.

Structure (extended XYZ):
```
10
Lattice="4.230 0.000 0.000 0.000 4.240 0.000 -2.090 0.000 9.300" Properties=species:S:1:pos:R:3 pbc="T T T"
Mg 0.009 1.060 2.743
Mg 2.131 3.180 6.557
Hg 0.017 1.060 6.534
Hg 2.123 3.180 2.766
Pd 0.002 3.180 0.930
Pd 0.013 3.180 4.651
Pd 0.018 3.180 8.380
Pd 2.122 1.060 0.920
Pd 2.127 1.060 4.648
Pd 2.138 1.060 8.370
```

Properties
Symmetry: P2_1/m, No. 11
E above lowest polymorph, eV per atom: 0.0000
Energy of formation, eV per atom: -0.41